Computed, not measured: NiP4O11 after structural relaxation at the PBE+U level of DFT.

```
NiP4O11
1.0
-5.076 -1.408 1.176
4.725 -5.658 1.358
2.830 7.431 21.121
Ni O P
4 44 16
direct
0.008 0.868 0.115
0.992 0.132 0.885
0.008 0.368 0.385
0.992 0.632 0.615
0.331 0.251 0.934
0.754 0.263 0.194
0.348 0.480 0.335
0.078 0.132 0.076
0.669 0.249 0.434
0.541 0.496 0.233
0.438 0.879 0.365
0.224 0.810 0.048
0.438 0.379 0.135
0.557 0.798 0.465
0.077 0.402 0.844
0.541 0.996 0.267
0.191 0.056 0.818
0.922 0.368 0.576
0.443 0.702 0.965
0.809 0.944 0.182
0.233 0.976 0.453
0.923 0.598 0.156
0.443 0.202 0.535
0.077 0.902 0.656
0.348 0.980 0.165
0.459 0.504 0.767
0.809 0.444 0.318
0.459 0.004 0.733
0.776 0.690 0.548
0.224 0.310 0.452
0.331 0.751 0.566
0.767 0.024 0.547
0.078 0.632 0.424
0.776 0.190 0.952
0.767 0.524 0.953
0.557 0.298 0.035
0.562 0.121 0.635
0.246 0.237 0.694
0.652 0.020 0.835
0.652 0.520 0.665
0.562 0.621 0.865
0.922 0.868 0.924
0.233 0.476 0.047
0.246 0.737 0.806
0.923 0.098 0.344
0.191 0.556 0.682
0.754 0.763 0.306
0.669 0.749 0.066
0.593 0.294 0.963
0.395 0.971 0.804
0.688 0.692 0.928
0.395 0.471 0.696
0.314 0.055 0.679
0.407 0.706 0.037
0.312 0.308 0.072
0.314 0.555 0.821
0.686 0.445 0.179
0.605 0.029 0.196
0.686 0.945 0.321
0.407 0.206 0.463
0.593 0.794 0.537
0.688 0.192 0.572
0.605 0.529 0.304
0.312 0.808 0.428
```

Values from the calculation:
* uncorrected energy: -6.8926 eV per atom